1.
An optimized crystal structure of ReNi2Cl. Source: Alexandria via LeMat-Bulk, functional PBE.

Structure (POSCAR):
```
ReNi2Cl
1.0
2.765 0.008 0.000
-1.336 2.421 0.000
0.000 0.000 8.256
Re Ni Cl
1 2 1
direct
0.000 0.000 0.487
0.000 0.000 0.000
0.500 0.500 0.243
0.500 0.500 0.770
```

Output
Excess energy over the best structure of this formula in the dataset in meV/atom: 445
Magnetization in Bohr magnetons per cell: 0.46
Electronic total energy in eV/atom: -5.840
Volume in A^3/atom: 13.84
ΔE_f (raw) in kJ per mole of atoms: 60.26

***

2.
An optimized crystal structure of Re2NiCl. Source: Alexandria via LeMat-Bulk, functional PBE.

Structure (POSCAR):
```
Re2NiCl
1.0
4.353 0.000 0.000
2.176 3.770 0.000
2.176 1.257 3.554
Re Cl Ni
2 1 1
direct
0.000 0.000 0.000
0.250 0.250 0.250
0.500 0.500 0.500
0.750 0.750 0.750
```

Output
Excess energy over the best structure of this formula in the dataset in meV/atom: 720
Magnetization in Bohr magnetons per cell: 0.00
Electronic total energy in eV/atom: -7.111
Volume in A^3/atom: 14.58
ΔE_f (raw) in kJ per mole of atoms: 98.39

***

3.
An optimized crystal structure of Re2NiCl. Source: Alexandria via LeMat-Bulk, functional PBE.

Structure (POSCAR):
```
Re2NiCl
1.0
2.795 -0.002 0.000
-1.291 2.479 0.000
0.000 0.000 8.549
Re Cl Ni
2 1 1
direct
0.500 0.500 0.243
0.000 0.000 0.990
0.000 0.000 0.521
0.500 0.500 0.746
```

Output
Excess energy over the best structure of this formula in the dataset in meV/atom: 243
Magnetization in Bohr magnetons per cell: 0.00
Electronic total energy in eV/atom: -7.588
Volume in A^3/atom: 14.80
ΔE_f (raw) in kJ per mole of atoms: 52.37

***

4.
An optimized crystal structure of ReNi2Cl. Source: Alexandria via LeMat-Bulk, functional PBE.

Structure (POSCAR):
```
ReNi2Cl
1.0
-5.711 -1.508 -0.848
1.628 -3.697 -4.392
-1.678 -5.362 -0.162
Ni Re Cl
4 2 2
direct
0.375 0.380 0.750
0.130 0.625 0.250
0.875 0.870 0.750
0.620 0.125 0.250
0.000 0.000 0.000
0.750 0.250 0.500
0.500 0.500 0.000
0.250 0.750 0.500
```

Output
Excess energy over the best structure of this formula in the dataset in meV/atom: 741
Magnetization in Bohr magnetons per cell: 0.00
Electronic total energy in eV/atom: -5.544
Volume in A^3/atom: 16.53
ΔE_f (raw) in kJ per mole of atoms: 88.82

***

5.
An optimized crystal structure of Re2NiCl. Source: Alexandria via LeMat-Bulk, functional PBE.

Structure (POSCAR):
```
Re2NiCl
1.0
4.753 0.000 0.000
0.000 3.607 0.000
0.000 0.000 3.607
Cl Ni Re
1 1 2
direct
0.500 0.500 0.000
0.500 0.000 0.500
0.000 0.000 0.000
0.000 0.500 0.500
```

Output
Excess energy over the best structure of this formula in the dataset in meV/atom: 1032
Magnetization in Bohr magnetons per cell: 0.00
Electronic total energy in eV/atom: -6.799
Volume in A^3/atom: 15.46
ΔE_f (raw) in kJ per mole of atoms: 128.53

***

6.
An optimized crystal structure of Re2NiCl. Source: Alexandria via LeMat-Bulk, functional PBE.

Structure (POSCAR):
```
Re2NiCl
1.0
3.040 0.000 0.000
0.000 3.040 0.000
0.000 0.000 6.523
Re Cl Ni
2 1 1
direct
0.000 0.000 0.558
0.000 0.000 0.942
0.500 0.500 0.250
0.500 0.500 0.750
```

Output
Excess energy over the best structure of this formula in the dataset in meV/atom: 428
Magnetization in Bohr magnetons per cell: 0.00
Electronic total energy in eV/atom: -7.403
Volume in A^3/atom: 15.07
ΔE_f (raw) in kJ per mole of atoms: 70.27

***

7.
An optimized crystal structure of ReNi2Cl. Source: Alexandria via LeMat-Bulk, functional PBE.

Structure (POSCAR):
```
ReNi2Cl
1.0
2.938 0.000 0.000
0.000 2.938 0.000
0.000 0.000 6.345
Re Cl Ni
1 1 2
direct
0.000 0.000 0.456
0.500 0.500 0.754
0.000 0.000 0.042
0.500 0.500 0.247
```

Output
Excess energy over the best structure of this formula in the dataset in meV/atom: 300
Magnetization in Bohr magnetons per cell: 0.00
Electronic total energy in eV/atom: -5.984
Volume in A^3/atom: 13.70
ΔE_f (raw) in kJ per mole of atoms: 46.31

***

8.
An optimized crystal structure of ReNi2Cl. Source: Alexandria via LeMat-Bulk, functional PBE.

Structure (POSCAR):
```
ReNi2Cl
1.0
-1.906 2.378 3.560
-2.514 -3.595 -1.648
1.210 -1.652 1.753
Ni Cl Re
2 1 1
direct
0.500 0.500 0.000
0.000 0.000 0.000
0.000 0.500 0.500
0.500 0.000 0.500
```

Output
Excess energy over the best structure of this formula in the dataset in meV/atom: 528
Magnetization in Bohr magnetons per cell: 0.46
Electronic total energy in eV/atom: -5.756
Volume in A^3/atom: 13.30
ΔE_f (raw) in kJ per mole of atoms: 68.33